(1)
Density functional theory data (PBE) for crystalline Ni12Pt6W at its relaxed geometry.

As for the energy of formation: 0.05 eV/atom. For the calculated total energy, the calculation gives -352.8 eV per cell.

Cell: 9.1742 9.1742 10.4471 Å, 90.00 90.00 120.00°
Closest atoms and distances in Å follow each position.
Space group R-3 (No. 148, hexagonal axes)
Symmetry-distinct sites (fractional):
Ni  0.0453  0.1803  0.3086 (multiplicity 18)  4 Ni 2.38-2.62, 1 W 2.49, 1 Pt 2.58
Ni  0.0530  0.8641  0.9069 (multiplicity 18)  3 Ni 2.38-2.49, 3 Pt 2.52-2.60
Pt  0.0215  0.4276  0.2152 (multiplicity 18)  9 Ni 2.52-2.74, 1 W 2.64, 2 Pt 2.78
W  0.0000  0.0000  0.5000 (multiplicity 3)  6 Ni 2.49, 6 Pt 2.64

(2)
Density functional theory data (PBE) for crystalline Ni2PtW at its relaxed geometry.

The distance to the lowest polymorph of the same formula is 0.1491 eV per atom. As for the energy of formation: -0.05 eV/atom. For the calculated total energy, the calculation gives -123.0 eV per cell.

Cell: 5.9536 5.9536 5.9536 Å, 90.00 90.00 90.00°
Closest atoms and distances in Å follow each position.
Space group Fm-3m (No. 225)
Symmetry-distinct sites (fractional):
Ni  0.2500  0.2500  0.2500 (multiplicity 8)  4 W 2.58, 4 Pt 2.58
Pt  0.0000  0.0000  0.0000 (multiplicity 4)  8 Ni 2.58
W  0.0000  0.0000  0.5000 (multiplicity 4)  8 Ni 2.58

(3)
Density functional theory data (PBE) for crystalline Ni8Pt3W at its relaxed geometry.

As for the energy of formation: -0.05 eV/atom. For the calculated total energy, the calculation gives -77.9 eV per cell.

Cell: 2.6923 5.2403 10.8049 Å, 88.91 89.99 89.84°
Closest atoms and distances in Å follow each position.
Space group P1 (No. 1)
Symmetry-distinct sites (fractional):
Ni  0.0000  0.0000  0.0000 (multiplicity 1)  10 Ni 2.46-2.75, 2 Pt 2.64
Ni  0.9996  0.4816  0.3063 (multiplicity 1)  8 Ni 2.53-2.79, 4 Pt 2.55-2.69
Ni  0.0012  0.4762  0.9926 (multiplicity 1)  9 Ni 2.44-2.69, 2 Pt 2.60
Ni  0.0009  0.9926  0.6574 (multiplicity 1)  6 Ni 2.61-2.69, 2 W 2.62, 4 Pt 2.63-2.64
Ni  0.4998  0.2454  0.1464 (multiplicity 1)  9 Ni 2.44-2.69, 2 Pt 2.58
Ni  0.5009  0.2373  0.8256 (multiplicity 1)  2 Pt 2.57-2.67, 8 Ni 2.59-2.69, 2 W 2.61
Ni  0.5014  0.7192  0.1412 (multiplicity 1)  10 Ni 2.46-2.76, 2 Pt 2.57-2.58
Ni  0.5008  0.7443  0.4901 (multiplicity 1)  2 W 2.59, 4 Pt 2.61-2.69, 6 Ni 2.62-2.79
Pt  0.0014  0.9684  0.3024 (multiplicity 1)  8 Ni 2.55-2.69, 4 Pt 2.69-2.80
Pt  0.5003  0.2423  0.4842 (multiplicity 1)  6 Ni 2.61-2.64, 2 W 2.67, 4 Pt 2.69-2.80
Pt  0.5005  0.7468  0.8319 (multiplicity 1)  8 Ni 2.57-2.67, 2 W 2.69, 2 Pt 2.69
W  0.0003  0.4931  0.6572 (multiplicity 1)  6 Ni 2.59-2.62, 4 Pt 2.67-2.69, 2 W 2.69

(4)
Density functional theory data (PBE) for crystalline Ni8Pt2W3 at its relaxed geometry.

As for the energy of formation: 0.12 eV/atom. For the calculated total energy, the calculation gives -286.8 eV per cell.

Cell: 4.6204 4.6204 28.0362 Å, 90.00 90.00 120.00°
Closest atoms and distances in Å follow each position.
Space group R-3m (No. 166, hexagonal axes)
Symmetry-distinct sites (fractional):
Ni  0.0000  0.0000  0.2284 (multiplicity 6)  1 W 2.45, 1 Pt 2.45, 6 Ni 2.60
Ni  0.9999  0.5000  0.2708 (multiplicity 18)  4 Ni 2.31, 1 Pt 2.57
Pt  0.0000  0.0000  0.1409 (multiplicity 6)  4 Ni 2.45-2.57
W  0.0000  0.0000  0.3160 (multiplicity 6)  10 Ni 2.45-2.64
W  0.0000  0.0000  0.5000 (multiplicity 3)  6 Pt 2.76

(5)
Density functional theory data (PBE) for crystalline NiPt2W at its relaxed geometry.

The distance to the lowest polymorph of the same formula is 0.6080 eV per atom. As for the energy of formation: 0.34 eV/atom. For the calculated total energy, the calculation gives -117.7 eV per cell.

Cell: 6.9142 6.9142 5.3598 Å, 90.00 90.00 90.00°
Closest atoms and distances in Å follow each position.
Space group I-42d (No. 122)
Symmetry-distinct sites (fractional):
Ni  0.0000  0.0000  0.0000 (multiplicity 4)  4 Pt 2.52, 2 W 2.68
Pt  0.2460  0.2500  0.1250 (multiplicity 8)  2 Ni 2.52, 2 W 2.55, 2 Pt 2.68
W  0.0000  0.0000  0.5000 (multiplicity 4)  4 Pt 2.55, 2 Ni 2.68

(6)
Density functional theory data (PBE) for crystalline Ni2Pt8W at its relaxed geometry.

As for the energy of formation: -0.08 eV/atom. For the calculated total energy, the calculation gives -147.5 eV per cell.

Cell: 8.0337 10.6288 3.9758 Å, 90.00 90.00 90.00°
Closest atoms and distances in Å follow each position.
Space group Cmmm (No. 65)
Symmetry-distinct sites (fractional):
Ni  0.0000  0.1131  0.0000 (multiplicity 4)  1 Ni 2.40, 8 Pt 2.46-2.68
Pt  0.0000  0.2494  0.5000 (multiplicity 4)  2 Ni 2.46, 1 W 2.66, 4 Pt 2.74
Pt  0.1663  0.0000  0.5000 (multiplicity 4)  7 Pt 2.67-2.97, 4 Ni 2.68, 1 W 2.68
Pt  0.1742  0.3691  0.0000 (multiplicity 8)  1 Ni 2.62, 7 Pt 2.74-2.81, 2 W 2.80
W  0.0000  0.5000  0.5000 (multiplicity 2)  12 Pt 2.66-2.80

(7)
Density functional theory data (PBE) for crystalline Ni3Pt4W2 at its relaxed geometry.

As for the energy of formation: -0.27 eV/atom. For the calculated total energy, the calculation gives -139.7 eV per cell.

Cell: 8.6857 3.8208 8.0731 Å, 90.00 108.92 90.00°
Closest atoms and distances in Å follow each position.
Space group C2/m (No. 12)
Symmetry-distinct sites (fractional):
Ni  0.0000  0.0000  0.0000 (multiplicity 2)  8 Pt 2.68-2.76, 4 W 2.77
Ni  0.1741  0.5000  0.5551 (multiplicity 4)  3 W 2.58-2.61, 6 Pt 2.60-2.81, 3 Ni 2.63-2.86
Pt  0.0091  0.0000  0.3346 (multiplicity 4)  6 Ni 2.60-2.81, 3 W 2.66-2.76, 3 Pt 2.73
Pt  0.1643  0.5000  0.8897 (multiplicity 4)  4 Ni 2.70-2.76, 4 Pt 2.70-2.73, 4 W 2.75-2.77
W  0.1731  0.5000  0.2346 (multiplicity 4)  5 Ni 2.58-2.77, 7 Pt 2.66-2.77

(8)
Density functional theory data (PBE) for crystalline Ni3Pt3W at its relaxed geometry.

The distance to the lowest polymorph of the same formula is 0.0000 eV per atom. As for the energy of formation: -0.14 eV/atom. For the calculated total energy, the calculation gives -98.9 eV per cell.

Cell: 7.1323 7.1323 4.3638 Å, 90.00 90.00 120.00°
Closest atoms and distances in Å follow each position.
Space group P6_3/m (No. 176)
Symmetry-distinct sites (fractional):
Ni  0.1060  0.4879  0.2500 (multiplicity 6)  4 Ni 2.56-2.71, 5 Pt 2.60-2.76, 3 W 2.64-2.75
Pt  0.0574  0.2573  0.7500 (multiplicity 6)  1 W 2.58, 5 Ni 2.60-2.76, 4 Pt 2.75
W  0.3333  0.6667  0.7500 (multiplicity 2)  3 Pt 2.58, 9 Ni 2.64-2.75

Q: The highest calculated total energy belongs to which entry?
A: Ni8Pt3W

Q: Among the records above, which one has the highest calculated total energy?
A: Ni8Pt3W